A geometry-optimized Mn2PW structure. Source: Alexandria, functional GGA-PBE.

Results
ΔH_f (0 K) (eV/atom): 0.195
Spin magnetization (μB/f.u.): 1.502

abc: 2.7230 2.7230 23.8696
angles: 90.00 90.00 120.00
Space group R3m (No. 160, hexagonal axes)
Inequivalent atoms, fractional coordinates:
Mn (0.0000, 0.0000, 0.0000)
Mn (0.0000, 0.0000, 0.2537)
P (0.0000, 0.0000, 0.5151)
W (0.0000, 0.0000, 0.7590)